Below is an optimized crystal structure of La2MgIr, with properties calculated at the PBE level.

Values from the calculation:
The symmetry is R-3m, No. 166. The calculated formation energy is -0.40 eV per atom. The magnetization is 0.0000 μB per atom. The mass density is 6.27 g/cm³.

a b c (Å): 9.042 9.042 9.042
angles (deg): 26.63 26.63 26.63
Fractional coordinates of all 4 atoms:
La  0.227  0.227  0.227
La  0.773  0.773  0.773
Mg  0.000  0.000  0.000
Ir  0.500  0.500  0.500